The following is a DFT calculation (GGA-PBE) of a geometry-optimized K2Cd6Au structure.

a = 6.465 Å, b = 6.261 Å, c = 7.093 Å
α = 89.02°, β = 90.00°, γ = 121.08°
Fractional positions:
Cd: 0.833 0.666 0.675
Cd: 0.167 0.334 0.325
Cd: 0.170 0.825 0.330
Cd: 0.830 0.175 0.670
Cd: 0.344 0.175 0.670
Cd: 0.656 0.825 0.330
K: 0.667 0.334 0.114
K: 0.333 0.666 0.886
Au: 0.000 0.000 0.000

## Properties
As for the formation energy: -116 meV/atom.


The following is a DFT calculation (GGA-PBE) of a geometry-optimized Cs3CoH structure.

a = 6.046 Å, b = 6.046 Å, c = 6.046 Å
α = 90.00°, β = 90.00°, γ = 90.00°
Fractional positions:
Cs: 0.000 0.000 0.500
Cs: 0.000 0.500 0.000
Cs: 0.500 0.000 0.000
Co: 0.000 0.000 0.000
H: 0.500 0.500 0.500

## Properties
The value obtained for the total energy is -0.1338 Ry/atom.


The following is a DFT calculation (GGA-PBE) of a geometry-optimized Cd2C structure.

a = 3.700 Å, b = 3.700 Å, c = 10.183 Å
α = 90.00°, β = 90.00°, γ = 120.00°
Fractional positions:
C: 0.000 0.000 0.500
C: 0.000 0.000 0.000
Cd: 0.667 0.333 0.609
Cd: 0.333 0.667 0.391
Cd: 0.667 0.333 0.891
Cd: 0.333 0.667 0.109

## Properties
As for the formation energy: 1287 meV/atom. The calculation puts the offset from the most stable computed form at 52.4 kJ per mole of atoms.


The following is a DFT calculation (GGA-PBE) of a geometry-optimized LiCaCl structure.

a = 6.189 Å, b = 3.761 Å, c = 6.559 Å
α = 90.00°, β = 99.81°, γ = 90.00°
Fractional positions:
Cl: 0.500 0.500 0.000
Cl: 0.000 0.000 0.000
Li: 0.797 0.500 0.762
Li: 0.203 0.500 0.238
Ca: 0.278 0.000 0.678
Ca: 0.722 0.000 0.322

## Properties
The calculation puts the uncorrected formation energy at -1.070 eV/atom. The calculation puts the offset from the most stable computed form at 1.5 kJ per mole of atoms.


Let's list total magnetization in order: 0.00 0.00 0.00 0.00 μB per formula unit.
Let's list N(E_F) in order: 4.3 4.8 4.0 2.4 states/eV per cell.